1.
Density functional theory data (PBE) for an optimized crystal structure of Hf6TcRu.

The energy relative to the elements is -0.1741 eV per atom.

The structure belongs to space group C2/m (No. 12); the cell edges are 6.330, 9.023 and 5.758 Å and the angles 90.00°, 105.48° and 90.00°. The distinct sites, in fractional coordinates, are Hf at (0.086, 0.250, 0.269), Hf at (0.248, 0.000, 0.999), Tc at (0.000, 0.000, 0.500) and Ru at (0.000, 0.500, 0.500).


2.
Density functional theory data (PBE) for an optimized crystal structure of Tb2PrN.

As for the energy relative to the elements, uncorrected: -0.6888 eV per atom.

The structure belongs to space group R-3m (No. 166, hexagonal axes); the cell edges are 3.4844, 3.4844 and 29.0764 Å and the angles 90.00°, 90.00° and 120.00°. The distinct sites, in fractional coordinates, are Tb at (0.0000, 0.0000, 0.1208), Pr at (0.0000, 0.0000, 0.0000) and N at (0.0000, 0.0000, 0.5000).


3.
Density functional theory data (PBE) for an optimized crystal structure of Tm5MgAl3.

The energy relative to the elements is -0.2846 eV per atom.

The structure belongs to space group P6_3/mcm (No. 193); the cell edges are 8.9158, 8.9158 and 6.3956 Å and the angles 90.00°, 90.00° and 120.00°. The distinct sites, in fractional coordinates, are Tm at (0.0000, 0.3126, 0.2500), Tm at (0.3333, 0.6667, 0.0000), Mg at (0.0000, 0.0000, 0.0000) and Al at (0.0000, 0.3514, 0.7500).


4.
Density functional theory data (PBE) for an optimized crystal structure of Tb2Zn4Ag3.

The energy relative to the elements is -0.2313 eV per atom.

The structure belongs to space group Cmce (No. 64); the cell edges are 5.838, 15.370 and 7.900 Å and the angles 90.00°, 90.00° and 90.00°. The distinct sites, in fractional coordinates, are Tb at (0.000, 0.114, 0.084), Zn at (0.000, 0.177, 0.473), Zn at (0.250, 0.052, 0.750), Ag at (0.000, 0.000, 0.500) and Ag at (0.250, 0.225, 0.750).


5.
Density functional theory data (PBE) for an optimized crystal structure of CdTeF3.

As for the energy relative to the elements, uncorrected: -1.1237 eV per atom.

The structure belongs to space group Pm-3m (No. 221); the cell edges are 4.616, 4.616 and 4.616 Å and the angles 90.00°, 90.00° and 90.00°. The distinct sites, in fractional coordinates, are Cd at (0.000, 0.000, 0.000), Te at (0.500, 0.500, 0.500) and F at (0.000, 0.500, 0.500).


6.
Density functional theory data (PBE) for an optimized crystal structure of LaBSe3.

As for the energy relative to the elements, uncorrected: -0.9551 eV per atom.

The structure belongs to space group P-1 (No. 2); the cell edges are 4.285, 7.939 and 8.008 Å and the angles 87.91°, 75.24° and 79.48°. The distinct sites, in fractional coordinates, are La at (0.159, 0.385, 0.264), B at (0.095, 0.935, 0.065), Se at (0.184, 0.684, 0.004), Se at (0.234, 0.997, 0.261) and Se at (0.458, 0.647, 0.430).


7.
Density functional theory data (PBE) for an optimized crystal structure of Sr8Mg2Ag.

The energy relative to the elements is -0.0384 eV per atom.

The structure belongs to space group C2/m (No. 12); the cell edges are 20.973, 5.999 and 7.970 Å and the angles 90.00°, 107.29° and 90.00°. The distinct sites, in fractional coordinates, are Sr at (0.023, 0.000, 0.284), Sr at (0.094, 0.500, 0.936), Sr at (0.153, 0.500, 0.463), Sr at (0.207, 0.000, 0.800), Mg at (0.183, 0.000, 0.223) and Ag at (0.000, 0.500, 0.500).


8.
Density functional theory data (PBE) for an optimized crystal structure of Li3PrSb2.

As for the energy relative to the elements, uncorrected: -0.7694 eV per atom.

The structure belongs to space group C2/m (No. 12); the cell edges are 17.543, 4.421 and 10.853 Å and the angles 90.00°, 100.74° and 90.00°. The distinct sites, in fractional coordinates, are Li at (0.000, 0.000, 0.000), Li at (0.051, 0.500, 0.838), Li at (0.120, 0.000, 0.727), Li at (0.182, 0.000, 0.488), Li at (0.208, 0.500, 0.904), Pr at (0.000, 0.500, 0.500), Pr at (0.169, 0.500, 0.218), Sb at (0.045, 0.000, 0.304), Sb at (0.144, 0.000, 0.989) and Sb at (0.192, 0.500, 0.644).


9.
Density functional theory data (PBE) for an optimized crystal structure of CeSc2S4.

As for the energy relative to the elements, uncorrected: -1.9749 eV per atom.

The structure belongs to space group Cmcm (No. 63); the cell edges are 3.770, 12.239 and 12.681 Å and the angles 90.00°, 90.00° and 90.00°. The distinct sites, in fractional coordinates, are Ce at (0.000, 0.118, 0.250), Sc at (0.000, 0.369, 0.063), S at (0.000, 0.000, 0.000), S at (0.000, 0.269, 0.617) and S at (0.000, 0.447, 0.250).


10.
Density functional theory data (PBE) for an optimized crystal structure of ZnHgAs2.

The energy relative to the elements is 0.1963 eV per atom.

The structure belongs to space group C2/m (No. 12); the cell edges are 5.606, 7.795 and 4.800 Å and the angles 90.00°, 125.56° and 90.00°. The distinct sites, in fractional coordinates, are Zn at (0.000, 0.000, 0.000), Hg at (0.000, 0.500, 0.000) and As at (0.250, 0.250, 0.500).


11.
Density functional theory data (PBE) for an optimized crystal structure of Cs2ZnGeBr6.

As for the energy relative to the elements, uncorrected: -1.1309 eV per atom.

The structure belongs to space group I4/mmm (No. 139); the cell edges are 7.762, 7.762 and 10.993 Å and the angles 90.00°, 90.00° and 90.00°. The distinct sites, in fractional coordinates, are Cs at (0.000, 0.500, 0.250), Zn at (0.000, 0.000, 0.000), Ge at (0.000, 0.000, 0.500), Br at (0.000, 0.000, 0.244) and Br at (0.243, 0.243, 0.000).


12.
Density functional theory data (PBE) for an optimized crystal structure of K2YCuF6.

As for the energy relative to the elements, uncorrected: -2.9328 eV per atom.

The structure belongs to space group P2_1/c (No. 14); the cell edges are 6.657, 6.909 and 10.363 Å and the angles 90.00°, 129.90° and 90.00°. The distinct sites, in fractional coordinates, are K at (0.245, 0.049, 0.248), Y at (0.000, 0.000, 0.500), Cu at (0.500, 0.000, 0.000), F at (0.183, 0.721, 0.541), F at (0.199, 0.038, 0.773) and F at (0.320, 0.145, 0.534).


13.
Density functional theory data (PBE) for an optimized crystal structure of K3Na8.

The energy relative to the elements is 0.0289 eV per atom.

The structure belongs to space group C2/m (No. 12); the cell edges are 12.725, 5.879 and 13.660 Å and the angles 90.00°, 102.83° and 90.00°. The distinct sites, in fractional coordinates, are K at (0.000, 0.000, 0.000), K at (0.091, 0.000, 0.644), Na at (0.040, 0.500, 0.818), Na at (0.142, 0.500, 0.451), Na at (0.191, 0.000, 0.273) and Na at (0.220, 0.500, 0.084).


14.
Density functional theory data (PBE) for an optimized crystal structure of GaSnH.

For the raw total energy, the calculation gives -3.112 eV per atom.

The structure belongs to space group Pnma (No. 62); the cell edges are 6.950, 5.034 and 6.750 Å and the angles 90.00°, 90.00° and 90.00°. The distinct sites, in fractional coordinates, are Ga at (0.000, 0.000, 0.000), Sn at (0.134, 0.250, 0.375) and H at (0.072, 0.750, 0.448).


15.
Density functional theory data (PBE) for an optimized crystal structure of Cs2CaZnSb2.

As for the energy relative to the elements, uncorrected: -0.5780 eV per atom.

The structure belongs to space group Ibam (No. 72); the cell edges are 7.262, 17.543 and 7.400 Å and the angles 90.00°, 90.00° and 90.00°. The distinct sites, in fractional coordinates, are Cs at (0.241, 0.175, 0.000), Ca at (0.000, 0.500, 0.250), Zn at (0.000, 0.000, 0.250) and Sb at (0.220, 0.086, 0.500).


16.
Density functional theory data (PBE) for an optimized crystal structure of CsMg3Cu4Br12.

As for the energy relative to the elements, uncorrected: -0.9117 eV per atom.

The structure belongs to space group R32 (No. 155, hexagonal axes); the cell edges are 14.3418, 14.3418 and 10.5628 Å and the angles 90.00°, 90.00° and 120.00°. The distinct sites, in fractional coordinates, are Cs at (0.0000, 0.0000, 0.0000), Mg at (0.0000, 0.5696, 0.0000), Cu at (0.0000, 0.0000, 0.5000), Cu at (0.0000, 0.4179, 0.5000), Br at (0.0000, 0.5898, 0.5000), Br at (0.0000, 0.8332, 0.5000) and Br at (0.0579, 0.2182, 0.2019).


17.
Density functional theory data (PBE) for an optimized crystal structure of BaSr3O.

As for the energy relative to the elements, uncorrected: -0.8013 eV per atom.

The structure belongs to space group Pm-3m (No. 221); the cell edges are 5.681, 5.681 and 5.681 Å and the angles 90.00°, 90.00° and 90.00°. The distinct sites, in fractional coordinates, are Ba at (0.000, 0.000, 0.000), Sr at (0.000, 0.500, 0.500) and O at (0.500, 0.500, 0.500).


| no. | spin magnetization (μB per formula unit) |
| --- | --- |
| 1 | 0.00 |
| 2 | 0.00 |
| 3 | 0.00 |
| 4 | 0.00 |
| 5 | 0.00 |
| 6 | 0.00 |
| 7 | 0.00 |
| 8 | 0.00 |
| 9 | 1.23 |
| 10 | 0.00 |
| 11 | 0.00 |
| 12 | 0.08 |
| 13 | 0.00 |
| 14 | 0.00 |
| 15 | 0.00 |
| 16 | 1.19 |
| 17 | 0.00 |